The following is a PBE calculation of crystalline Ho6As3PbSe2 at its relaxed geometry, from the Alexandria database.

Cell lengths 4.100, 8.387, 9.281 Å; angles 103.16, 102.76, 90.00 degrees
Positions (direct):
Ho1 0.665 0.591 0.329
Ho2 0.335 0.409 0.671
Ho3 0.999 0.265 0.998
Ho4 0.672 0.079 0.344
Ho5 0.328 0.921 0.656
Ho6 0.001 0.735 0.002
Pb1 0.500 0.000 0.000
Se1 0.831 0.662 0.662
Se2 0.169 0.338 0.338
As1 0.833 0.168 0.666
As2 0.500 0.500 0.000
As3 0.167 0.832 0.334

Output
Crystal system: monoclinic
Formation energy without anion corrections (eV/atom): -1.446

=====

The following is a PBE calculation of crystalline Ho8Te4As3Pb at its relaxed geometry, from the Alexandria database.

Cell lengths 8.492, 8.591, 8.491 Å; angles 119.62, 120.00, 90.00 degrees
Positions (direct):
Te1 0.500 0.000 0.500
Te2 0.000 0.000 0.000
Te3 0.000 0.000 0.500
Te4 0.500 0.000 0.000
Ho1 0.753 0.275 0.022
Ho2 0.753 0.275 0.506
Ho3 0.247 0.725 0.494
Ho4 0.247 0.725 0.978
Ho5 0.269 0.275 0.022
Ho6 0.261 0.284 0.522
Ho7 0.739 0.716 0.478
Ho8 0.731 0.725 0.978
As1 0.500 0.500 0.500
As2 0.500 0.500 0.000
As3 0.000 0.500 0.500
Pb1 0.000 0.500 0.000

Output
Crystal system: trigonal
Formation energy without anion corrections (eV/atom): -1.320

=====

The following is a PBE calculation of crystalline Ho6Te3As2Pb at its relaxed geometry, from the Alexandria database.

Cell lengths 4.253, 8.639, 9.601 Å; angles 103.59, 102.80, 90.00 degrees
Positions (direct):
As1 0.832 0.662 0.663
As2 0.168 0.338 0.337
Ho1 0.325 0.432 0.650
Ho2 0.009 0.250 0.019
Ho3 0.991 0.750 0.981
Ho4 0.675 0.568 0.350
Ho5 0.667 0.109 0.334
Ho6 0.333 0.891 0.666
Te1 0.835 0.167 0.671
Te2 0.500 0.500 0.000
Te3 0.165 0.833 0.329
Pb1 0.500 0.000 0.000

Output
Crystal system: monoclinic
Formation energy without anion corrections (eV/atom): -1.274

=====

The following is a PBE calculation of crystalline HoAsPd4 at its relaxed geometry, from the Alexandria database.

Cell lengths 5.368, 5.368, 8.681 Å; angles 90.00, 90.00, 90.00 degrees
Positions (direct):
As1 0.000 0.000 0.000
As2 0.500 0.500 0.500
Pd1 0.737 0.000 0.218
Pd2 0.500 0.237 0.718
Pd3 0.000 0.737 0.782
Pd4 0.263 0.000 0.218
Pd5 0.000 0.263 0.782
Pd6 0.237 0.500 0.282
Pd7 0.500 0.763 0.718
Pd8 0.763 0.500 0.282
Ho1 0.000 0.000 0.500
Ho2 0.500 0.500 0.000

Output
Crystal system: tetragonal
E_form (eV/atom): -0.282

=====

The records above yield density of states at the Fermi level values of 2.53, 5.15, 4.58, 5.15 states/eV per cell, respectively.